[1]
# Y2OsN

A relaxed Y2OsN crystal (PBE-GGA, Alexandria via LeMat-Bulk).

Cell lengths 6.640, 6.640, 6.021 Å; angles 56.53, 56.53, 90.00 degrees
Sites, in units of the cell vectors:
Y 0.375 0.444 0.750
N 0.250 0.750 0.500
Y 0.556 0.125 0.250
N 0.500 0.500 0.000
Y 0.194 0.625 0.250
Os 0.000 0.000 0.000
Y 0.875 0.806 0.750
Os 0.750 0.250 0.500

Calculated values
- SG: I-42d
- Spin magnetization: 2.00 μB/cell
- Energy: -66.0 eV/cell

=====

[2]
# SmDy3Al

A relaxed SmDy3Al crystal (PBE-GGA, Alexandria via LeMat-Bulk).

Cell lengths 3.613, 6.729, 12.486 Å; angles 85.45, 90.00, 74.43 degrees
Sites, in units of the cell vectors:
Dy 0.859 0.283 0.550
Dy 0.141 0.717 0.450
Dy 0.968 0.065 0.805
Dy 0.032 0.935 0.195
Dy 0.635 0.730 0.982
Sm 0.223 0.553 0.747
Dy 0.365 0.270 0.018
Al 0.452 0.096 0.381
Al 0.548 0.904 0.619
Sm 0.777 0.447 0.253

Calculated values
- SG: C2/m
- Formation energy: -0.687 eV/f.u.
- Spin magnetization: 0.96 μB/cell